(1)
{
  "formula": "GaPdPt5",
  "functional": "GGA-PBE",
  "state": "relaxed",
  "final_energy_ha_per_atom": -0.2055,
  "rho_g_cm3": 16.13,
  "lattice_angstrom": [[-5.6165, -2.2383, 8.3003], [1.6760, -5.1297, -0.2492], [4.2654, 4.4184, -3.7070]],
  "species": ["Ga", "Pd", "Pt", "Pt", "Pt", "Pt", "Pt"],
  "fractional_positions": [[0.2340, 0.0152, 0.0304], [0.7293, 0.5107, 0.0214], [0.5191, 0.5619, 0.1237], [0.5644, 0.0845, 0.1691], [0.3934, 0.6747, 0.3495], [0.0452, 0.3266, 0.1530], [0.0452, 0.8264, 0.1530]]
}

---

(2)
{
  "formula": "GaPd4Pt",
  "functional": "GGA-PBE",
  "state": "relaxed",
  "rho_g_cm3": 12.52,
  "de_polymorph_mev_per_atom": 0,
  "lattice_angstrom": [[-1.9749, -5.5766, 5.6877], [3.6568, 1.5012, 2.7416], [-5.6542, 6.1415, 4.0582]],
  "species": ["Ga", "Ga", "Ga", "Ga", "Pd", "Pd", "Pd", "Pd", "Pd", "Pd", "Pd", "Pd", "Pd", "Pd", "Pd", "Pd", "Pd", "Pd", "Pd", "Pd", "Pt", "Pt", "Pt", "Pt"],
  "fractional_positions": [[0.9016, 0.5922, 0.8568], [0.4016, 0.4078, 0.6432], [0.0984, 0.4078, 0.1432], [0.5984, 0.5922, 0.3568], [0.7442, 0.0797, 0.8682], [0.2442, 0.9203, 0.6318], [0.2558, 0.9203, 0.1318], [0.7558, 0.0797, 0.3682], [0.2305, 0.5985, 0.8863], [0.7305, 0.4015, 0.6137], [0.7695, 0.4015, 0.1137], [0.2695, 0.5985, 0.3863], [0.5778, 0.5847, 0.8722], [0.0778, 0.4153, 0.6278], [0.4222, 0.4153, 0.1278], [0.9222, 0.5847, 0.3722], [0.0729, 0.1099, 0.8831], [0.5729, 0.8901, 0.6169], [0.9271, 0.8901, 0.1169], [0.4271, 0.1099, 0.3831], [0.4101, 0.0877, 0.8754], [0.9101, 0.9123, 0.6246], [0.5899, 0.9123, 0.1246], [0.0899, 0.0877, 0.3754]]
}

---

(3)
{
  "formula": "GaPd2Pt2",
  "functional": "GGA-PBE",
  "state": "relaxed",
  "rho_g_cm3": 13.88,
  "de_polymorph_mev_per_atom": 29,
  "lattice_angstrom": [[4.3416, 0.0000, 0.0000], [-2.1708, 3.7599, 0.0000], [0.0000, 0.0000, 9.8576]],
  "species": ["Ga", "Ga", "Pd", "Pd", "Pd", "Pd", "Pt", "Pt", "Pt", "Pt"],
  "fractional_positions": [[0.0000, 0.0000, 0.2500], [0.0000, 0.0000, 0.7500], [0.3333, 0.6667, 0.6018], [0.6667, 0.3333, 0.1018], [0.6667, 0.3333, 0.3982], [0.3333, 0.6667, 0.8982], [0.6667, 0.3333, 0.7500], [0.0000, 0.0000, 0.0000], [0.0000, 0.0000, 0.5000], [0.3333, 0.6667, 0.2500]]
}

---

Question: What is the formula in the third record?
Answer: GaPd2Pt2